Record 1
A relaxed AlB3Cl crystal. Source: Alexandria, functional PBE.

Energy above the most stable polymorph in this dataset = 0.419 eV per atom

a b c (Å): 3.8899 3.8899 3.8899
angles (deg): 90.00 90.00 90.00
With the nearest neighbours (Å) after each atom.
Sites, in units of the cell vectors:
B  0.0000  0.5000  0.0000  2 Cl 1.94
B  0.0000  0.0000  0.5000  2 Cl 1.94
B  0.5000  0.0000  0.0000  2 Cl 1.94
Al  0.5000  0.5000  0.5000  12 B 2.75
Cl  0.0000  0.0000  0.0000  6 B 1.94

***

Record 2
A relaxed Ba3CdPd8 crystal. Source: Alexandria, functional PBE.

ΔE_f = -0.47 eV per atom

a b c (Å): 5.6586 5.6586 9.7772
angles (deg): 73.18 73.18 60.00
With the nearest neighbours (Å) after each atom.
Sites, in units of the cell vectors:
Ba  0.3760  0.3760  0.8721  12 Pd 3.32-3.38, 4 Ba 3.52
Ba  0.9954  0.9954  0.0138  12 Pd 3.28-3.50, 1 Cd 3.41, 3 Ba 3.52
Ba  0.5033  0.5033  0.4901  12 Pd 3.18-3.32, 3 Cd 3.41, 1 Ba 3.52
Cd  0.8719  0.8719  0.3842  12 Pd 3.16-3.33, 4 Ba 3.41
Pd  0.9346  0.4361  0.1932  6 Pd 2.76-2.87
Pd  0.4435  0.9386  0.6792  6 Pd 2.79-2.88
Pd  0.4361  0.4361  0.1932  6 Pd 2.76-2.87
Pd  0.9386  0.9386  0.6792  6 Pd 2.79-2.88
Pd  0.1884  0.1884  0.4349  6 Pd 2.76-2.79
Pd  0.6875  0.6875  0.9374  6 Pd 2.87-2.88
Pd  0.4361  0.9346  0.1932  6 Pd 2.76-2.87
Pd  0.9386  0.4435  0.6792  6 Pd 2.79-2.88

***

Record 3
A relaxed Mg8Ga3Sn3 crystal. Source: Alexandria, functional PBE.

ΔE_f = -0.10 eV per atom

a b c (Å): 5.3577 9.2975 11.1540
angles (deg): 52.32 44.55 62.29
With the nearest neighbours (Å) after each atom.
Sites, in units of the cell vectors:
Mg  0.6015  0.0610  0.6724  3 Ga 2.98-3.09, 3 Mg 3.08-3.21, 4 Sn 3.13-3.30
Mg  0.3985  0.9390  0.3276  3 Ga 2.98-3.09, 3 Mg 3.08-3.21, 4 Sn 3.13-3.30
Mg  0.6543  0.5903  0.1366  3 Ga 2.99-3.05, 3 Sn 3.04-3.22, 5 Mg 3.08-3.20
Mg  0.3457  0.4097  0.8634  3 Ga 2.99-3.05, 3 Sn 3.04-3.22, 5 Mg 3.08-3.20
Mg  0.9266  0.7231  0.4215  2 Ga 2.98-3.18, 5 Mg 3.08-3.31, 4 Sn 3.09-3.23
Mg  0.0734  0.2769  0.5785  2 Ga 2.98-3.18, 5 Mg 3.08-3.31, 4 Sn 3.09-3.23
Mg  0.7739  0.6338  0.7913  2 Ga 3.03-3.05, 3 Sn 3.10-3.11, 6 Mg 3.10-3.21
Mg  0.2261  0.3662  0.2087  2 Ga 3.03-3.05, 3 Sn 3.10-3.11, 6 Mg 3.10-3.21
Ga  0.5000  0.0000  0.0000  6 Mg 2.98-3.18, 4 Ga 3.03-3.30, 2 Sn 3.11
Ga  0.0928  0.7728  0.0806  7 Mg 2.98-3.09, 2 Ga 3.03-3.30, 2 Sn 3.20-3.23
Ga  0.9072  0.2272  0.9194  7 Mg 2.98-3.09, 2 Ga 3.03-3.30, 2 Sn 3.20-3.23
Sn  0.5000  0.5000  0.5000  10 Mg 3.09-3.24, 2 Ga 3.20
Sn  0.7952  0.1575  0.2759  9 Mg 3.04-3.30, 2 Ga 3.11-3.23
Sn  0.2048  0.8425  0.7241  9 Mg 3.04-3.30, 2 Ga 3.11-3.23

***

Record 4
A relaxed AcY4Ho crystal. Source: Alexandria, functional PBE.

ΔE_f = 0.51 eV per atom
Energy above the most stable polymorph in this dataset = 0.287 eV per atom

a b c (Å): 6.3080 6.3828 11.7599
angles (deg): 90.46 90.00 90.00
With the nearest neighbours (Å) after each atom.
Sites, in units of the cell vectors:
Ac  0.5000  0.5000  0.0000  4 Y 3.59-3.61
Ac  0.0000  0.0000  0.0000  4 Y 3.59-3.61
Y  0.1888  0.8146  0.2707  5 Y 3.28-3.30, 2 Ho 3.53-3.58, 1 Ac 3.61
Y  0.3112  0.3146  0.2707  5 Y 3.28-3.30, 2 Ho 3.53-3.58, 1 Ac 3.61
Y  0.6883  0.6734  0.2732  5 Y 3.28-3.30, 2 Ho 3.50-3.58, 1 Ac 3.59
Y  0.1883  0.8266  0.7268  5 Y 3.28-3.30, 2 Ho 3.50-3.58, 1 Ac 3.59
Y  0.8117  0.1734  0.2732  5 Y 3.28-3.30, 2 Ho 3.50-3.58, 1 Ac 3.59
Y  0.3117  0.3266  0.7268  5 Y 3.28-3.30, 2 Ho 3.50-3.58, 1 Ac 3.59
Y  0.6888  0.6854  0.7293  5 Y 3.28-3.30, 2 Ho 3.53-3.58, 1 Ac 3.61
Y  0.8112  0.1854  0.7293  5 Y 3.28-3.30, 2 Ho 3.53-3.58, 1 Ac 3.61
Ho  0.0000  0.5000  0.5000  8 Y 3.50-3.58
Ho  0.5000  0.0000  0.5000  8 Y 3.50-3.58

***

Record 5
A relaxed CrAsW3 crystal. Source: Alexandria, functional PBE.

ΔE_f = 1.89 eV per atom
Energy above the most stable polymorph in this dataset = 0.286 eV per atom

a b c (Å): 4.5496 4.5496 4.5496
angles (deg): 90.00 90.00 90.00
With the nearest neighbours (Å) after each atom.
Sites, in units of the cell vectors:
Cr  0.5000  0.5000  0.5000  12 W 3.22
As  0.0000  0.0000  0.0000  6 W 2.27
W  0.0000  0.5000  0.0000  2 As 2.27
W  0.0000  0.0000  0.5000  2 As 2.27
W  0.5000  0.0000  0.0000  2 As 2.27

***

Record 6
A relaxed CoAg2Br crystal. Source: Alexandria, functional PBE.

Energy above the most stable polymorph in this dataset = 0.313 eV per atom

a b c (Å): 5.7759 5.7759 5.7759
angles (deg): 140.76 140.76 56.70
With the nearest neighbours (Å) after each atom.
Sites, in units of the cell vectors:
Ag  0.0000  0.0000  0.0000  4 Ag 2.74
Ag  0.5000  0.5000  0.0000  4 Ag 2.74
Br  0.2500  0.7500  0.5000  4 Co 2.74
Co  0.7500  0.2500  0.5000  4 Br 2.74

***

What did the sixth record say?
A relaxed CoAg2Br crystal. Source: Alexandria, functional PBE.

Energy above the most stable polymorph in this dataset = 0.313 eV per atom

a b c (Å): 5.7759 5.7759 5.7759
angles (deg): 140.76 140.76 56.70
With the nearest neighbours (Å) after each atom.
Sites, in units of the cell vectors:
Ag  0.0000  0.0000  0.0000  4 Ag 2.74
Ag  0.5000  0.5000  0.0000  4 Ag 2.74
Br  0.2500  0.7500  0.5000  4 Co 2.74
Co  0.7500  0.2500  0.5000  4 Br 2.74

***

Number 5 is which compound? CrAsW3

***

Number 3 is which compound? Mg8Ga3Sn3